Pm5Sm2DyHo: optimized geometry, GGA-PBE.

Cell: 8.658 8.658 16.300 Å, 90.00 90.00 90.00°
Space group I4/mcm (No. 140)
Inequivalent atoms, fractional coordinates:
1 Pm 0.000 0.000 0.000 [4 per cell]
2 Pm 0.212 0.288 0.141 [16 per cell]
3 Sm 0.120 0.380 0.500 [8 per cell]
4 Dy 0.000 0.000 0.250 [4 per cell]
5 Ho 0.000 0.500 0.250 [4 per cell]

Properties
As for the crystal system: tetragonal.

Pm6SmDyHo2: optimized geometry, GGA-PBE.

Cell: 9.243 15.249 9.643 Å, 90.00 97.23 90.00°
Space group C2/c (No. 15)
Inequivalent atoms, fractional coordinates:
1 Pm 0.062 0.179 0.445 [8 per cell]
2 Pm 0.098 0.391 0.619 [8 per cell]
3 Pm 0.212 0.224 0.815 [8 per cell]
4 Sm 0.000 0.028 0.750 [4 per cell]
5 Dy 0.000 0.410 0.250 [4 per cell]
6 Ho 0.250 0.050 0.047 [8 per cell]

Properties
As for the crystal system: monoclinic.

PmSm2DyHo6: optimized geometry, GGA-PBE.

Cell: 9.022 15.026 9.642 Å, 90.00 98.42 90.00°
Space group C2/c (No. 15)
Inequivalent atoms, fractional coordinates:
1 Pm 0.000 0.020 0.250 [4 per cell]
2 Sm 0.247 0.052 0.543 [8 per cell]
3 Dy 0.000 0.408 0.750 [4 per cell]
4 Ho 0.066 0.190 0.943 [8 per cell]
5 Ho 0.100 0.393 0.119 [8 per cell]
6 Ho 0.204 0.225 0.315 [8 per cell]

Properties
As for the crystal system: monoclinic.

PmSmDy6Ho2: optimized geometry, GGA-PBE.

Cell: 9.098 15.010 9.567 Å, 90.00 97.47 90.00°
Space group C2/c (No. 15)
Inequivalent atoms, fractional coordinates:
1 Pm 0.000 0.092 0.250 [4 per cell]
2 Sm 0.000 0.474 0.750 [4 per cell]
3 Dy 0.065 0.316 0.443 [8 per cell]
4 Dy 0.099 0.108 0.619 [8 per cell]
5 Dy 0.205 0.273 0.818 [8 per cell]
6 Ho 0.247 0.448 0.046 [8 per cell]

Properties
As for the crystal system: monoclinic.

no.,DOS at the Fermi energy (states/eV per cell),spin magnetization (μB per cell),total DFT energy (no corrections) (eV per atom)
1,55.46,0.00,-4.4231
2,57.13,0.00,-4.5817
3,56.50,0.00,-4.5073
4,59.63,0.00,-4.5005